1.
The following is a DFT calculation (PBE) of a relaxed structure of HgIr2Pt.

Unit cell a=4.0294 b=4.0294 c=3.9966 alpha=90.00 beta=90.00 gamma=90.00
With the nearest neighbours (Å) after each atom.
Element x y z (fractional)
Hg 0.0000 0.0000 0.0000  8 Ir 2.84, 4 Pt 2.85
Ir 0.0000 0.5000 0.5000  4 Pt 2.84, 4 Hg 2.84, 4 Ir 2.85
Ir 0.5000 0.0000 0.5000  4 Pt 2.84, 4 Hg 2.84, 4 Ir 2.85
Pt 0.5000 0.5000 0.0000  8 Ir 2.84, 4 Hg 2.85

Values from the calculation:
- E (eV for the cell shown) = -22.328
- total moment (μB/cell) = 0.00

2.
The following is a DFT calculation (PBE) of a relaxed structure of HgIrPt2.

Unit cell a=5.6737 b=5.6737 c=5.6737 alpha=151.55 beta=128.85 gamma=59.56
With the nearest neighbours (Å) after each atom.
Element x y z (fractional)
Hg 0.0000 0.0000 0.0000  2 Hg 2.79, 6 Pt 2.82-2.95, 2 Ir 2.90
Ir 0.2580 0.7580 0.5000  6 Pt 2.67-2.83, 2 Ir 2.79, 2 Hg 2.90
Pt 0.4890 0.4890 0.0000  2 Ir 2.67, 4 Pt 2.79-2.81, 4 Hg 2.82
Pt 0.7365 0.2365 0.5000  4 Pt 2.79-2.81, 4 Ir 2.83, 2 Hg 2.95

Values from the calculation:
- E (eV for the cell shown) = -20.325
- total moment (μB/cell) = 0.00

3.
The following is a DFT calculation (PBE) of a relaxed structure of HgIrPt2.

Unit cell a=9.4358 b=9.4358 c=9.4358 alpha=17.52 beta=17.52 gamma=17.52
With the nearest neighbours (Å) after each atom.
Element x y z (fractional)
Hg 0.0000 0.0000 0.0000  6 Hg 2.87, 6 Pt 2.97
Ir 0.5000 0.5000 0.5000  6 Pt 2.74, 6 Ir 2.87
Pt 0.2447 0.2447 0.2447  3 Ir 2.74, 6 Pt 2.87, 3 Hg 2.97
Pt 0.7553 0.7553 0.7553  3 Ir 2.74, 6 Pt 2.87, 3 Hg 2.97

Values from the calculation:
- E (eV for the cell shown) = -20.540
- total moment (μB/cell) = 0.48

4.
The following is a DFT calculation (PBE) of a relaxed structure of HgIr2Pt.

Unit cell a=4.5328 b=4.5328 c=4.5328 alpha=60.00 beta=60.00 gamma=60.00
With the nearest neighbours (Å) after each atom.
Element x y z (fractional)
Hg 0.0000 0.0000 0.0000  4 Ir 2.78, 4 Pt 2.78
Ir 0.2500 0.2500 0.2500  4 Ir 2.78, 4 Hg 2.78
Ir 0.5000 0.5000 0.5000  4 Pt 2.78, 4 Ir 2.78
Pt 0.7500 0.7500 0.7500  4 Hg 2.78, 4 Ir 2.78

Values from the calculation:
- E (eV for the cell shown) = -21.816
- total moment (μB/cell) = 0.00

5.
The following is a DFT calculation (PBE) of a relaxed structure of HgIrPt2.

Unit cell a=9.4081 b=9.4081 c=9.4081 alpha=17.58 beta=17.58 gamma=17.58
With the nearest neighbours (Å) after each atom.
Element x y z (fractional)
Hg 0.0000 0.0000 0.0000  6 Hg 2.88, 3 Ir 2.93, 3 Pt 2.96
Ir 0.7537 0.7537 0.7537  3 Pt 2.71, 6 Ir 2.88, 3 Hg 2.93
Pt 0.2453 0.2453 0.2453  9 Pt 2.80-2.88, 3 Hg 2.96
Pt 0.4974 0.4974 0.4974  3 Ir 2.71, 9 Pt 2.80-2.88

Values from the calculation:
- E (eV for the cell shown) = -20.345
- total moment (μB/cell) = 0.03

6.
The following is a DFT calculation (PBE) of a relaxed structure of HgIrPt2.

Unit cell a=2.8253 b=2.8253 c=9.8459 alpha=90.00 beta=90.00 gamma=120.81
With the nearest neighbours (Å) after each atom.
Element x y z (fractional)
Hg 0.0000 0.0000 0.0000  6 Hg 2.79-2.83, 4 Pt 2.96
Ir 0.0000 0.0000 0.5000  4 Pt 2.70, 6 Ir 2.79-2.83
Pt 0.5000 0.5000 0.2647  2 Ir 2.70, 6 Pt 2.79-2.83, 2 Hg 2.96
Pt 0.5000 0.5000 0.7353  2 Ir 2.70, 6 Pt 2.79-2.83, 2 Hg 2.96

Values from the calculation:
- E (eV for the cell shown) = -20.244
- total moment (μB/cell) = 0.00